Density functional theory data (PBE) for Zr3PaSb after structural relaxation.

Unit cell a=3.730 b=6.424 c=10.264 alpha=93.19 beta=89.75 gamma=106.65
Fractional positions:
Zr (0.072, 0.181, 0.360)
Zr (0.462, 0.963, 0.564)
Zr (0.582, 0.191, 0.858)
Zr (0.972, 0.973, 0.062)
Zr (0.270, 0.566, 0.983)
Zr (0.774, 0.588, 0.438)
Pa (0.161, 0.408, 0.663)
Pa (0.883, 0.746, 0.759)
Sb (0.394, 0.821, 0.269)
Sb (0.650, 0.333, 0.153)

Results
formation energy (no corrections) = -0.25 eV/atom
calculated total energy = -80.98 eV/cell
space-group type = P-1 (2)

Density functional theory data (PBE) for Zr3PaSb4 after structural relaxation.

Unit cell a=4.262 b=7.234 c=7.234 alpha=110.15 beta=90.00 gamma=90.00
Fractional positions:
Zr (0.000, 0.000, 0.500)
Zr (0.500, 0.500, 0.500)
Zr (0.000, 0.500, 0.000)
Pa (0.500, 0.000, 0.000)
Sb (0.000, 0.261, 0.261)
Sb (0.500, 0.745, 0.255)
Sb (0.000, 0.739, 0.739)
Sb (0.500, 0.255, 0.745)

Results
formation energy (no corrections) = -0.53 eV/atom
calculated total energy = -55.87 eV/cell
space-group type = Cmmm (65)

Density functional theory data (PBE) for ZrPaSb after structural relaxation.

Unit cell a=3.684 b=3.684 c=6.123 alpha=107.51 beta=107.51 gamma=90.00
Fractional positions:
Sb (0.302, 0.302, 0.605)
Pa (0.618, 0.618, 0.237)
Zr (0.929, 0.929, 0.859)

Results
formation energy (no corrections) = -0.23 eV/atom
calculated total energy = -22.86 eV/cell
space-group type = I4mm (107)

Density functional theory data (PBE) for Zr2PaSb2 after structural relaxation.

Unit cell a=7.487 b=7.487 c=5.735 alpha=109.78 beta=109.78 gamma=100.70
Last column: magnetic moment on the atom in μB.
Fractional positions:
Zr (0.770, 0.600, 0.472)  0.01
Zr (0.400, 0.230, 0.028)  0.01
Zr (0.600, 0.770, 0.972)  0.01
Zr (0.230, 0.400, 0.528)  0.01
Pa (0.088, 0.912, 0.250)  0.78
Pa (0.912, 0.088, 0.750)  0.78
Sb (0.366, 0.634, 0.250)  -0.01
Sb (0.805, 0.195, 0.250)  -0.01
Sb (0.195, 0.805, 0.750)  -0.01
Sb (0.634, 0.366, 0.750)  -0.01

Results
formation energy (no corrections) = -0.24 eV/atom
calculated total energy = -72.11 eV/cell
space-group type = C2/c (15)

Density functional theory data (PBE) for ZrPaSb2 after structural relaxation.

Unit cell a=3.719 b=5.118 c=5.118 alpha=90.00 beta=90.00 gamma=90.00
Fractional positions:
Sb (0.000, 0.000, 0.500)
Sb (0.000, 0.500, 0.000)
Pa (0.500, 0.000, 0.000)
Zr (0.500, 0.500, 0.500)

Results
formation energy (no corrections) = -0.50 eV/atom
calculated total energy = -28.29 eV/cell
space-group type = P4/mmm (123)

Density functional theory data (PBE) for ZrPaSb3 after structural relaxation.

Unit cell a=6.321 b=6.414 c=13.040 alpha=90.00 beta=90.00 gamma=90.00
Last column: magnetic moment on the atom in μB.
Fractional positions:
Zr (0.500, 0.250, 0.091)  0.06
Zr (0.000, 0.750, 0.909)  0.06
Zr (0.500, 0.750, 0.909)  0.06
Zr (0.000, 0.250, 0.091)  0.06
Pa (0.750, 0.492, 0.680)  0.65
Pa (0.250, 0.508, 0.320)  0.65
Pa (0.750, 0.992, 0.320)  0.65
Pa (0.250, 0.008, 0.680)  0.65
Sb (0.000, 0.250, 0.498)  -0.01
Sb (0.500, 0.750, 0.502)  -0.01
Sb (0.000, 0.750, 0.502)  -0.01
Sb (0.500, 0.250, 0.498)  -0.01
Sb (0.250, 0.127, 0.913)  0.00
Sb (0.750, 0.873, 0.087)  0.00
Sb (0.250, 0.627, 0.087)  0.00
Sb (0.750, 0.373, 0.913)  0.00
Sb (0.250, 0.511, 0.747)  -0.01
Sb (0.750, 0.489, 0.253)  -0.01
Sb (0.250, 0.011, 0.253)  -0.01
Sb (0.750, 0.989, 0.747)  -0.01

Results
formation energy (no corrections) = -0.49 eV/atom
calculated total energy = -131.46 eV/cell
space-group type = Pbcm (57)